# 1
The following is a DFT calculation (PBE-GGA) of a relaxed structure of Pr2Zn12Cu3Ag.

Values from the calculation:
ρ: 5.88 Mg/m³
Energy relative to the elements: 0.236 eV per atom

a b c (Å): 8.212 8.212 8.212
angles (deg): 59.30 59.30 59.30
Sites, in units of the cell vectors:
Pr 0.615 0.615 0.615
Pr 0.385 0.385 0.385
Zn 0.354 0.354 0.874
Zn 0.878 0.878 0.390
Zn 0.390 0.878 0.878
Zn 0.874 0.354 0.354
Zn 0.878 0.390 0.878
Zn 0.354 0.874 0.354
Zn 0.646 0.646 0.126
Zn 0.122 0.122 0.610
Zn 0.610 0.122 0.122
Zn 0.126 0.646 0.646
Zn 0.122 0.610 0.122
Zn 0.646 0.126 0.646
Cu 0.500 0.000 0.000
Cu 0.000 0.500 0.000
Cu 0.000 0.000 0.500
Ag 0.000 0.000 0.000


# 2
The following is a DFT calculation (PBE-GGA) of a relaxed structure of InNiP2.

Values from the calculation:
ρ: 5.63 Mg/m³
Energy relative to the elements: 0.079 eV per atom

a b c (Å): 3.178 3.178 6.873
angles (deg): 90.00 90.00 89.99
Sites, in units of the cell vectors:
In 0.500 0.500 0.250
Ni 0.500 0.500 0.750
P 0.000 0.000 0.907
P 0.000 0.000 0.593


# 3
The following is a DFT calculation (PBE-GGA) of a relaxed structure of Pm4PrCo.

Values from the calculation:
ρ: 6.82 Mg/m³
Energy relative to the elements: -0.007 eV per atom
Energy above the most stable polymorph in this dataset: 0 meV per atom

a b c (Å): 6.583 7.153 9.063
angles (deg): 106.04 111.30 90.01
Sites, in units of the cell vectors:
Pm 0.488 0.998 0.799
Pm 0.688 0.502 0.201
Pm 0.512 0.002 0.201
Pm 0.312 0.498 0.799
Pm 0.895 0.864 0.613
Pm 0.282 0.636 0.387
Pm 0.105 0.136 0.387
Pm 0.718 0.364 0.613
Pr 0.946 0.750 0.000
Pr 0.054 0.250 0.000
Co 0.500 0.000 0.500
Co 0.000 0.500 0.500


# 4
The following is a DFT calculation (PBE-GGA) of a relaxed structure of Na3Sb.

Values from the calculation:
Formation energy from raw total energies: -434 meV/atom
ρ: 2.65 Mg/m³

a b c (Å): 5.376 5.376 9.561
angles (deg): 90.00 90.00 120.00
Sites, in units of the cell vectors:
Na 0.333 0.667 0.917
Na 0.667 0.333 0.417
Na 0.000 0.000 0.250
Na 0.000 0.000 0.750
Na 0.333 0.667 0.583
Na 0.667 0.333 0.083
Sb 0.667 0.333 0.750
Sb 0.333 0.667 0.250


# 5
The following is a DFT calculation (PBE-GGA) of a relaxed structure of RbSnTe3.

Values from the calculation:
Formation energy from raw total energies: -264 meV/atom
ρ: 5.25 Mg/m³

a b c (Å): 7.440 7.440 7.440
angles (deg): 73.91 73.91 73.91
Sites, in units of the cell vectors:
Rb 0.744 0.744 0.744
Rb 0.244 0.244 0.244
Sn 0.994 0.994 0.994
Sn 0.494 0.494 0.494
Te 0.157 0.745 0.332
Te 0.332 0.157 0.745
Te 0.745 0.332 0.157
Te 0.657 0.832 0.245
Te 0.832 0.245 0.657
Te 0.245 0.657 0.832


# 6
The following is a DFT calculation (PBE-GGA) of a relaxed structure of GeBi2F.

Values from the calculation:
Formation energy from raw total energies: -381 meV/atom
ρ: 7.23 Mg/m³
Energy above the most stable polymorph in this dataset: 112 meV per atom

a b c (Å): 6.616 6.616 7.104
angles (deg): 62.25 62.25 90.00
Sites, in units of the cell vectors:
Ge 0.000 0.000 0.000
Ge 0.750 0.250 0.500
Bi 0.597 0.125 0.250
Bi 0.153 0.625 0.250
Bi 0.375 0.403 0.750
Bi 0.875 0.847 0.750
F 0.500 0.500 0.000
F 0.250 0.750 0.500


# 7
The following is a DFT calculation (PBE-GGA) of a relaxed structure of Pm4Te2PI.

Values from the calculation:
Formation energy from raw total energies: -1334 meV/atom
ρ: 6.83 Mg/m³

a b c (Å): 4.296 7.601 7.801
angles (deg): 71.54 90.00 90.00
Sites, in units of the cell vectors:
Pm 0.000 0.734 0.714
Pm 0.000 0.266 0.286
Pm 0.500 0.717 0.291
Pm 0.500 0.283 0.709
Te 0.000 0.000 0.000
Te 0.500 0.000 0.500
P 0.000 0.500 0.500
I 0.500 0.500 0.000


# 8
The following is a DFT calculation (PBE-GGA) of a relaxed structure of BPtSe.

Values from the calculation:
Formation energy from raw total energies: 329 meV/atom
ρ: 11.09 Mg/m³

a b c (Å): 3.205 3.202 9.599
angles (deg): 90.00 90.00 120.03
Sites, in units of the cell vectors:
B 0.441 0.882 0.000
B 0.446 0.892 0.500
Pt 0.775 0.549 0.865
Pt 0.775 0.549 0.135
Se 0.115 0.230 0.649
Se 0.115 0.230 0.351


# 9
The following is a DFT calculation (PBE-GGA) of a relaxed structure of HgMo2Pb.

Values from the calculation:
ρ: 13.29 Mg/m³
Energy relative to the elements: 0.860 eV per atom
Energy above the most stable polymorph in this dataset: 464 meV per atom

a b c (Å): 4.732 4.732 4.732
angles (deg): 60.00 60.00 60.00
Sites, in units of the cell vectors:
Pb 0.500 0.500 0.500
Mo 0.250 0.250 0.250
Mo 0.750 0.750 0.750
Hg 0.000 0.000 0.000


# 10
The following is a DFT calculation (PBE-GGA) of a relaxed structure of PrEr5TmSc2.

Values from the calculation:
ρ: 7.44 Mg/m³
Energy relative to the elements: 0.172 eV per atom

a b c (Å): 5.563 11.083 9.240
angles (deg): 90.00 90.00 104.54
Sites, in units of the cell vectors:
Pr 0.816 0.631 0.516
Pr 0.184 0.369 0.016
Er 0.393 0.786 0.048
Er 0.734 0.469 0.834
Er 0.468 0.937 0.749
Er 0.309 0.617 0.720
Er 0.992 0.983 0.517
Er 0.607 0.214 0.548
Er 0.266 0.531 0.334
Er 0.532 0.063 0.249
Er 0.691 0.383 0.220
Er 0.008 0.017 0.017
Tm 0.596 0.193 0.920
Tm 0.404 0.807 0.420
Sc 0.887 0.773 0.824
Sc 0.139 0.278 0.695
Sc 0.113 0.227 0.324
Sc 0.861 0.722 0.195


# 11
The following is a DFT calculation (PBE-GGA) of a relaxed structure of CdSn2RhBr.

Values from the calculation:
Formation energy from raw total energies: -307 meV/atom
ρ: 6.43 Mg/m³

a b c (Å): 5.078 5.078 5.332
angles (deg): 90.00 90.00 90.00
Sites, in units of the cell vectors:
Rh 0.000 0.000 0.000
Sn 0.000 0.500 0.000
Sn 0.500 0.000 0.000
Br 0.500 0.500 0.500
Cd 0.000 0.000 0.500


# 12
The following is a DFT calculation (PBE-GGA) of a relaxed structure of YSbTe2Se.

Values from the calculation:
Formation energy from raw total energies: 277 meV/atom
ρ: 4.58 Mg/m³
Energy above the most stable polymorph in this dataset: 282 meV per atom

a b c (Å): 5.740 5.740 5.990
angles (deg): 90.00 90.00 90.00
Site moments in Bohr magnetons follow the coordinates.
Sites, in units of the cell vectors:
Y 0.000 0.000 0.000  0.01
Sb 0.000 0.000 0.500  -0.13
Te 0.000 0.500 0.000  0.10
Te 0.500 0.000 0.000  0.10
Se 0.500 0.500 0.500  0.74


# 13
The following is a DFT calculation (PBE-GGA) of a relaxed structure of SrYSi2.

Values from the calculation:
Formation energy from raw total energies: -110 meV/atom
ρ: 3.80 Mg/m³
Energy above the most stable polymorph in this dataset: 326 meV per atom

a b c (Å): 3.481 3.481 8.384
angles (deg): 90.00 90.00 90.00
Sites, in units of the cell vectors:
Si 0.000 0.000 0.061
Si 0.500 0.500 0.170
Sr 0.000 0.000 0.439
Y 0.500 0.500 0.831


# 14
The following is a DFT calculation (PBE-GGA) of a relaxed structure of Na2VTc.

Values from the calculation:
ρ: 3.86 Mg/m³
Energy relative to the elements: 1.280 eV per atom
Energy above the most stable polymorph in this dataset: 0 meV per atom

a b c (Å): 8.310 8.310 6.358
angles (deg): 49.19 49.19 90.00
Site moments in Bohr magnetons follow the coordinates.
Sites, in units of the cell vectors:
Na 0.627 0.125 0.250  0.01
Na 0.123 0.625 0.250  0.01
Na 0.375 0.373 0.750  0.01
Na 0.875 0.877 0.750  0.01
Tc 0.000 0.000 0.000  -1.79
Tc 0.750 0.250 0.500  -1.79
V 0.500 0.500 0.000  2.18
V 0.250 0.750 0.500  2.18


# 15
The following is a DFT calculation (PBE-GGA) of a relaxed structure of Li2YAgH.

Values from the calculation:
ρ: 4.16 Mg/m³
Calculated total energy: -3.513 eV/atom

a b c (Å): 4.216 4.216 4.756
angles (deg): 90.00 90.00 90.00
Sites, in units of the cell vectors:
Y 0.000 0.000 0.500
H 0.000 0.000 0.000
Ag 0.500 0.500 0.500
Li 0.000 0.500 0.000
Li 0.500 0.000 0.000


# 16
The following is a DFT calculation (PBE-GGA) of a relaxed structure of KUF4.

Values from the calculation:
Formation energy from raw total energies: -3231 meV/atom
ρ: 5.59 Mg/m³
Energy above the most stable polymorph in this dataset: 0 meV per atom

a b c (Å): 4.087 4.087 6.285
angles (deg): 89.64 89.64 89.82
Site moments in Bohr magnetons follow the coordinates.
Sites, in units of the cell vectors:
K 0.501 0.497 0.998  0.00
U 0.001 0.997 0.498  2.91
F 0.500 0.994 0.284  -0.01
F 0.503 0.001 0.712  -0.01
F 0.005 0.499 0.712  -0.01
F 0.998 0.496 0.284  -0.01


# 17
The following is a DFT calculation (PBE-GGA) of a relaxed structure of MgSi2Ir.

Values from the calculation:
Formation energy from raw total energies: -318 meV/atom
ρ: 7.23 Mg/m³

a b c (Å): 4.202 3.091 4.823
angles (deg): 89.90 90.00 90.00
Sites, in units of the cell vectors:
Ir 0.500 0.250 0.250
Mg 0.500 0.750 0.750
Si 0.000 0.250 0.993
Si 0.000 0.250 0.507


# 18
The following is a DFT calculation (PBE-GGA) of a relaxed structure of Ac2CeGa.

Values from the calculation:
ρ: 8.51 Mg/m³
Energy relative to the elements: -0.066 eV per atom
Energy above the most stable polymorph in this dataset: 37 meV per atom

a b c (Å): 4.815 5.187 5.187
angles (deg): 90.00 90.00 90.00
Site moments in Bohr magnetons follow the coordinates.
Sites, in units of the cell vectors:
Ac 0.000 0.000 0.500  0.02
Ac 0.000 0.500 0.000  0.02
Ga 0.500 0.500 0.500  -0.01
Ce 0.500 0.000 0.000  0.71